# 1
TlCuSeO5 | PBE | relaxed

Lattice parameters (Å, degrees): 8.483 8.992 7.765 90.00 117.57 90.00
Space group C2/c (No. 15)
Unique sites:
1 Tl 0.000 0.000 0.000 x4
2 Cu 0.000 0.310 0.250 x4
3 Se 0.000 0.378 0.750 x4
4 O 0.000 0.104 0.250 x4
5 O 0.003 0.274 0.932 x8
6 O 0.168 0.492 0.334 x8

Results
Formation energy (no corrections) ... -4.5 eV per formula unit
Uncorrected energy ... -156.90 eV/cell



# 2
LiCaAg2 | PBE | relaxed

Lattice parameters (Å, degrees): 3.679 3.679 6.438 90.00 90.00 90.00
Space group P4mm (No. 99)
Unique sites:
1 Li 0.000 0.000 0.000 x1
2 Ca 0.500 0.500 0.665 x1
3 Ag 0.000 0.000 0.405 x1
4 Ag 0.500 0.500 0.169 x1

Results
Formation enthalpy at 0 K ... -0.147 eV/atom
Distance to the lowest polymorph of the same formula ... 98.3 meV per atom
Uncorrected energy ... -10.20 eV/cell



What did the first record say?
TlCuSeO5 | PBE | relaxed

Lattice parameters (Å, degrees): 8.483 8.992 7.765 90.00 117.57 90.00
Space group C2/c (No. 15)
Unique sites:
1 Tl 0.000 0.000 0.000 x4
2 Cu 0.000 0.310 0.250 x4
3 Se 0.000 0.378 0.750 x4
4 O 0.000 0.104 0.250 x4
5 O 0.003 0.274 0.932 x8
6 O 0.168 0.492 0.334 x8

Results
Formation energy (no corrections) ... -4.5 eV per formula unit
Uncorrected energy ... -156.90 eV/cell



Question: Number 1 is which compound?
Answer: TlCuSeO5



Question: Which value of uncorrected energy does entry 2 give?
Answer: -10.20 eV/cell